--- P ---
The following is a GGA-PBE calculation of a relaxed TeAsSe2S crystal, from the Alexandria database.

```
data_TeAsSe2S
_cell_length_a 4.859
_cell_length_b 4.958
_cell_length_c 4.859
_cell_angle_alpha 90.00
_cell_angle_beta 90.00
_cell_angle_gamma 90.00
_symmetry_space_group_name_H-M 'P 1'
_symmetry_Int_Tables_number 1
loop_
_symmetry_equiv_pos_as_xyz
'x,y,z'
loop_
_atom_site_label
_atom_site_fract_x
_atom_site_fract_y
_atom_site_fract_z
_atom_site_occupancy
As1 0.000 0.500 0.000 1
Te1 0.500 0.500 0.500 1
S1 0.000 0.000 0.000 1
Se1 0.000 0.000 0.500 1
Se2 0.500 0.000 0.000 1
```

Output
M_tot: 0.00 μB/f.u.
crystal system: tetragonal
space group: P4/mmm, No. 123



--- Q ---
The following is a GGA-PBE calculation of a relaxed TeAsSe2S crystal, from the Alexandria database.

```
data_TeAsSe2S
_cell_length_a 5.305
_cell_length_b 5.305
_cell_length_c 5.521
_cell_angle_alpha 90.00
_cell_angle_beta 90.00
_cell_angle_gamma 90.00
_symmetry_space_group_name_H-M 'P 1'
_symmetry_Int_Tables_number 1
loop_
_symmetry_equiv_pos_as_xyz
'x,y,z'
loop_
_atom_site_label
_atom_site_fract_x
_atom_site_fract_y
_atom_site_fract_z
_atom_site_occupancy
As1 0.000 0.000 0.500 1
Te1 0.000 0.000 0.000 1
S1 0.500 0.500 0.500 1
Se1 0.000 0.500 0.000 1
Se2 0.500 0.000 0.000 1
```

Output
M_tot: 0.95 μB/f.u.
crystal system: tetragonal
space group: P4/mmm, No. 123



Short version: Q is the least stable of them.



--- P ---
The following is a GGA-PBE calculation of a relaxed TiAsSe2S crystal, from the Alexandria database.

```
data_TiAsSe2S
_cell_length_a 4.781
_cell_length_b 4.781
_cell_length_c 5.128
_cell_angle_alpha 90.00
_cell_angle_beta 90.00
_cell_angle_gamma 90.00
_symmetry_space_group_name_H-M 'P 1'
_symmetry_Int_Tables_number 1
loop_
_symmetry_equiv_pos_as_xyz
'x,y,z'
loop_
_atom_site_label
_atom_site_fract_x
_atom_site_fract_y
_atom_site_fract_z
_atom_site_occupancy
As1 0.000 0.000 0.500 1
S1 0.500 0.500 0.500 1
Se1 0.000 0.500 0.000 1
Se2 0.500 0.000 0.000 1
Ti1 0.000 0.000 0.000 1
```

Output
M_tot: 0.00 μB/f.u.
crystal system: tetragonal
space group: P4/mmm, No. 123



--- Q ---
The following is a GGA-PBE calculation of a relaxed TiAsSe2S crystal, from the Alexandria database.

```
data_TiAsSe2S
_cell_length_a 4.716
_cell_length_b 4.716
_cell_length_c 4.817
_cell_angle_alpha 90.00
_cell_angle_beta 90.00
_cell_angle_gamma 90.00
_symmetry_space_group_name_H-M 'P 1'
_symmetry_Int_Tables_number 1
loop_
_symmetry_equiv_pos_as_xyz
'x,y,z'
loop_
_atom_site_label
_atom_site_fract_x
_atom_site_fract_y
_atom_site_fract_z
_atom_site_occupancy
As1 0.000 0.000 0.500 1
S1 0.000 0.000 0.000 1
Se1 0.000 0.500 0.000 1
Se2 0.500 0.000 0.000 1
Ti1 0.500 0.500 0.500 1
```

Output
M_tot: 0.00 μB/f.u.
crystal system: tetragonal
space group: P4/mmm, No. 123



Short version: Q is the least stable of them.



--- P ---
The following is a GGA-PBE calculation of a relaxed TiAs2SeS crystal, from the Alexandria database.

```
data_TiAs2SeS
_cell_length_a 4.953
_cell_length_b 4.953
_cell_length_c 4.713
_cell_angle_alpha 90.00
_cell_angle_beta 90.00
_cell_angle_gamma 90.00
_symmetry_space_group_name_H-M 'P 1'
_symmetry_Int_Tables_number 1
loop_
_symmetry_equiv_pos_as_xyz
'x,y,z'
loop_
_atom_site_label
_atom_site_fract_x
_atom_site_fract_y
_atom_site_fract_z
_atom_site_occupancy
As1 0.000 0.500 0.000 1
As2 0.500 0.000 0.000 1
S1 0.500 0.500 0.500 1
Se1 0.000 0.000 0.500 1
Ti1 0.000 0.000 0.000 1
```

Output
M_tot: 0.00 μB/f.u.
crystal system: tetragonal
space group: P4/mmm, No. 123



--- Q ---
The following is a GGA-PBE calculation of a relaxed TiAs2SeS crystal, from the Alexandria database.

```
data_TiAs2SeS
_cell_length_a 4.747
_cell_length_b 4.747
_cell_length_c 4.698
_cell_angle_alpha 90.00
_cell_angle_beta 90.00
_cell_angle_gamma 90.00
_symmetry_space_group_name_H-M 'P 1'
_symmetry_Int_Tables_number 1
loop_
_symmetry_equiv_pos_as_xyz
'x,y,z'
loop_
_atom_site_label
_atom_site_fract_x
_atom_site_fract_y
_atom_site_fract_z
_atom_site_occupancy
As1 0.000 0.500 0.000 1
As2 0.500 0.000 0.000 1
S1 0.000 0.000 0.000 1
Se1 0.000 0.000 0.500 1
Ti1 0.500 0.500 0.500 1
```

Output
M_tot: 0.00 μB/f.u.
crystal system: tetragonal
space group: P4/mmm, No. 123



Short version: Q is the least stable of them.



--- P ---
The following is a GGA-PBE calculation of a relaxed TlAs2SeS crystal, from the Alexandria database.

```
data_TlAs2SeS
_cell_length_a 5.403
_cell_length_b 5.403
_cell_length_c 5.260
_cell_angle_alpha 90.00
_cell_angle_beta 90.00
_cell_angle_gamma 90.00
_symmetry_space_group_name_H-M 'P 1'
_symmetry_Int_Tables_number 1
loop_
_symmetry_equiv_pos_as_xyz
'x,y,z'
loop_
_atom_site_label
_atom_site_fract_x
_atom_site_fract_y
_atom_site_fract_z
_atom_site_occupancy
S1 0.500 0.500 0.500 1
Tl1 0.000 0.000 0.000 1
As1 0.000 0.500 0.000 1
As2 0.500 0.000 0.000 1
Se1 0.000 0.000 0.500 1
```

Output
M_tot: 0.08 μB/f.u.
crystal system: tetragonal
space group: P4/mmm, No. 123



--- Q ---
The following is a GGA-PBE calculation of a relaxed TlAs2SeS crystal, from the Alexandria database.

```
data_TlAs2SeS
_cell_length_a 4.950
_cell_length_b 4.950
_cell_length_c 5.009
_cell_angle_alpha 90.00
_cell_angle_beta 90.00
_cell_angle_gamma 90.00
_symmetry_space_group_name_H-M 'P 1'
_symmetry_Int_Tables_number 1
loop_
_symmetry_equiv_pos_as_xyz
'x,y,z'
loop_
_atom_site_label
_atom_site_fract_x
_atom_site_fract_y
_atom_site_fract_z
_atom_site_occupancy
S1 0.000 0.000 0.000 1
Tl1 0.500 0.500 0.500 1
As1 0.000 0.500 0.000 1
As2 0.500 0.000 0.000 1
Se1 0.000 0.000 0.500 1
```

Output
M_tot: 0.61 μB/f.u.
crystal system: tetragonal
space group: P4/mmm, No. 123



Short version: P is the least stable of them.



--- P ---
The following is a GGA-PBE calculation of a relaxed VAs2SeS crystal, from the Alexandria database.

```
data_VAs2SeS
_cell_length_a 4.777
_cell_length_b 4.777
_cell_length_c 4.589
_cell_angle_alpha 90.00
_cell_angle_beta 90.00
_cell_angle_gamma 90.00
_symmetry_space_group_name_H-M 'P 1'
_symmetry_Int_Tables_number 1
loop_
_symmetry_equiv_pos_as_xyz
'x,y,z'
loop_
_atom_site_label
_atom_site_fract_x
_atom_site_fract_y
_atom_site_fract_z
_atom_site_occupancy
As1 0.000 0.500 0.000 1
As2 0.500 0.000 0.000 1
S1 0.500 0.500 0.500 1
Se1 0.000 0.000 0.500 1
V1 0.000 0.000 0.000 1
```

Output
M_tot: 0.00 μB/f.u.
crystal system: tetragonal
space group: P4/mmm, No. 123



--- Q ---
The following is a GGA-PBE calculation of a relaxed VAs2SeS crystal, from the Alexandria database.

```
data_VAs2SeS
_cell_length_a 4.730
_cell_length_b 4.730
_cell_length_c 4.708
_cell_angle_alpha 90.00
_cell_angle_beta 90.00
_cell_angle_gamma 90.00
_symmetry_space_group_name_H-M 'P 1'
_symmetry_Int_Tables_number 1
loop_
_symmetry_equiv_pos_as_xyz
'x,y,z'
loop_
_atom_site_label
_atom_site_fract_x
_atom_site_fract_y
_atom_site_fract_z
_atom_site_occupancy
As1 0.000 0.500 0.000 1
As2 0.500 0.000 0.000 1
S1 0.000 0.000 0.000 1
Se1 0.000 0.000 0.500 1
V1 0.500 0.500 0.500 1
```

Output
M_tot: 0.09 μB/f.u.
crystal system: tetragonal
space group: P4/mmm, No. 123



Short version: Q is the least stable of them.



--- P ---
The following is a GGA-PBE calculation of a relaxed VAsSe2S crystal, from the Alexandria database.

```
data_VAsSe2S
_cell_length_a 4.742
_cell_length_b 4.742
_cell_length_c 4.767
_cell_angle_alpha 90.00
_cell_angle_beta 90.00
_cell_angle_gamma 90.00
_symmetry_space_group_name_H-M 'P 1'
_symmetry_Int_Tables_number 1
loop_
_symmetry_equiv_pos_as_xyz
'x,y,z'
loop_
_atom_site_label
_atom_site_fract_x
_atom_site_fract_y
_atom_site_fract_z
_atom_site_occupancy
As1 0.000 0.000 0.500 1
S1 0.000 0.000 0.000 1
Se1 0.000 0.500 0.000 1
Se2 0.500 0.000 0.000 1
V1 0.500 0.500 0.500 1
```

Output
M_tot: 0.12 μB/f.u.
crystal system: tetragonal
space group: P4/mmm, No. 123



--- Q ---
The following is a GGA-PBE calculation of a relaxed VAsSe2S crystal, from the Alexandria database.

```
data_VAsSe2S
_cell_length_a 4.635
_cell_length_b 4.635
_cell_length_c 4.972
_cell_angle_alpha 90.00
_cell_angle_beta 90.00
_cell_angle_gamma 90.00
_symmetry_space_group_name_H-M 'P 1'
_symmetry_Int_Tables_number 1
loop_
_symmetry_equiv_pos_as_xyz
'x,y,z'
loop_
_atom_site_label
_atom_site_fract_x
_atom_site_fract_y
_atom_site_fract_z
_atom_site_occupancy
As1 0.000 0.000 0.500 1
S1 0.500 0.500 0.500 1
Se1 0.000 0.500 0.000 1
Se2 0.500 0.000 0.000 1
V1 0.000 0.000 0.000 1
```

Output
M_tot: 0.00 μB/f.u.
crystal system: tetragonal
space group: P4/mmm, No. 123



Short version: P is the least stable of them.



--- P ---
The following is a GGA-PBE calculation of a relaxed As2WSeS crystal, from the Alexandria database.

```
data_As2WSeS
_cell_length_a 4.693
_cell_length_b 4.693
_cell_length_c 4.643
_cell_angle_alpha 90.00
_cell_angle_beta 90.00
_cell_angle_gamma 90.00
_symmetry_space_group_name_H-M 'P 1'
_symmetry_Int_Tables_number 1
loop_
_symmetry_equiv_pos_as_xyz
'x,y,z'
loop_
_atom_site_label
_atom_site_fract_x
_atom_site_fract_y
_atom_site_fract_z
_atom_site_occupancy
S1 0.000 0.000 0.000 1
As1 0.000 0.500 0.000 1
As2 0.500 0.000 0.000 1
Se1 0.000 0.000 0.500 1
W1 0.500 0.500 0.500 1
```

Output
M_tot: 2.34 μB/f.u.
crystal system: tetragonal
space group: P4/mmm, No. 123



--- Q ---
The following is a GGA-PBE calculation of a relaxed As2WSeS crystal, from the Alexandria database.

```
data_As2WSeS
_cell_length_a 4.942
_cell_length_b 4.942
_cell_length_c 4.734
_cell_angle_alpha 90.00
_cell_angle_beta 90.00
_cell_angle_gamma 90.00
_symmetry_space_group_name_H-M 'P 1'
_symmetry_Int_Tables_number 1
loop_
_symmetry_equiv_pos_as_xyz
'x,y,z'
loop_
_atom_site_label
_atom_site_fract_x
_atom_site_fract_y
_atom_site_fract_z
_atom_site_occupancy
S1 0.500 0.500 0.500 1
As1 0.000 0.500 0.000 1
As2 0.500 0.000 0.000 1
Se1 0.000 0.000 0.500 1
W1 0.000 0.000 0.000 1
```

Output
M_tot: 0.00 μB/f.u.
crystal system: tetragonal
space group: P4/mmm, No. 123



Short version: P is the least stable of them.



--- P ---
The following is a GGA-PBE calculation of a relaxed AsWSe2S crystal, from the Alexandria database.

```
data_AsWSe2S
_cell_length_a 4.675
_cell_length_b 4.675
_cell_length_c 4.780
_cell_angle_alpha 90.00
_cell_angle_beta 90.00
_cell_angle_gamma 90.00
_symmetry_space_group_name_H-M 'P 1'
_symmetry_Int_Tables_number 1
loop_
_symmetry_equiv_pos_as_xyz
'x,y,z'
loop_
_atom_site_label
_atom_site_fract_x
_atom_site_fract_y
_atom_site_fract_z
_atom_site_occupancy
S1 0.000 0.000 0.000 1
As1 0.000 0.000 0.500 1
Se1 0.000 0.500 0.000 1
Se2 0.500 0.000 0.000 1
W1 0.500 0.500 0.500 1
```

Output
M_tot: 2.28 μB/f.u.
crystal system: tetragonal
space group: P4/mmm, No. 123



--- Q ---
The following is a GGA-PBE calculation of a relaxed AsWSe2S crystal, from the Alexandria database.

```
data_AsWSe2S
_cell_length_a 4.801
_cell_length_b 4.801
_cell_length_c 5.072
_cell_angle_alpha 90.00
_cell_angle_beta 90.00
_cell_angle_gamma 90.00
_symmetry_space_group_name_H-M 'P 1'
_symmetry_Int_Tables_number 1
loop_
_symmetry_equiv_pos_as_xyz
'x,y,z'
loop_
_atom_site_label
_atom_site_fract_x
_atom_site_fract_y
_atom_site_fract_z
_atom_site_occupancy
S1 0.500 0.500 0.500 1
As1 0.000 0.000 0.500 1
Se1 0.000 0.500 0.000 1
Se2 0.500 0.000 0.000 1
W1 0.000 0.000 0.000 1
```

Output
M_tot: 0.00 μB/f.u.
crystal system: tetragonal
space group: P4/mmm, No. 123



--- R ---
The following is a GGA-PBE calculation of a relaxed AsWSe2S crystal, from the Alexandria database.

```
data_AsWSe2S
_cell_length_a 5.041
_cell_length_b 4.500
_cell_length_c 5.041
_cell_angle_alpha 90.00
_cell_angle_beta 90.00
_cell_angle_gamma 90.00
_symmetry_space_group_name_H-M 'P 1'
_symmetry_Int_Tables_number 1
loop_
_symmetry_equiv_pos_as_xyz
'x,y,z'
loop_
_atom_site_label
_atom_site_fract_x
_atom_site_fract_y
_atom_site_fract_z
_atom_site_occupancy
S1 0.000 0.500 0.000 1
As1 0.500 0.500 0.500 1
Se1 0.000 0.000 0.500 1
Se2 0.500 0.000 0.000 1
W1 0.000 0.000 0.000 1
```

Output
M_tot: 0.55 μB/f.u.
crystal system: tetragonal
space group: P4/mmm, No. 123



Short version: P is the least stable of them.